[1]
# PmSnBr PBE optimized geometry
# Excess energy over the best structure of this formula in the dataset   0.00 eV/f.u.
# DFT total energy   -4.5093 eV/atom
# Raw formation energy   -1.034 eV per atom
# DOS at the Fermi energy   5.29 states/eV per cell
data_PmSnBr
_chemical_formula_sum 'Pm2 Sn2 Br2'
_symmetry_space_group_name_H-M 'P 4/n m m'
_symmetry_Int_Tables_number 129
_cell_length_a 3.811
_cell_length_b 3.811
_cell_length_c 12.240
_cell_angle_alpha 90.00
_cell_angle_beta 90.00
_cell_angle_gamma 90.00
loop_
_symmetry_equiv_pos_as_xyz
'x,y,z'
'-x,-y,-z'
'-y+1/2,x,z'
'y+1/2,-x,-z'
'-x+1/2,-y+1/2,z'
'x+1/2,y+1/2,-z'
'y,-x+1/2,z'
'-y,x+1/2,-z'
'x+1/2,-y,-z'
'-x+1/2,y,z'
'-y,-x,-z'
'y,x,z'
'-x,y+1/2,-z'
'x,-y+1/2,z'
'y+1/2,x+1/2,-z'
'-y+1/2,-x+1/2,z'
loop_
_atom_site_label
_atom_site_type_symbol
_atom_site_fract_x
_atom_site_fract_y
_atom_site_fract_z
Pm1 Pm 0.250 0.250 0.224
Sn1 Sn 0.250 0.250 0.942
Br1 Br 0.250 0.250 0.640



[2]
# TlZnGa PBE optimized geometry
# DFT total energy   -2.1523 eV/atom
# DFT formation energy   70 meV/atom
# DOS at the Fermi energy   1.98 states/eV per cell
data_TlZnGa
_chemical_formula_sum 'Tl2 Zn2 Ga2'
_symmetry_space_group_name_H-M 'P -1'
_symmetry_Int_Tables_number 2
_cell_length_a 3.398
_cell_length_b 4.561
_cell_length_c 9.615
_cell_angle_alpha 77.52
_cell_angle_beta 82.89
_cell_angle_gamma 71.08
loop_
_symmetry_equiv_pos_as_xyz
'x,y,z'
'-x,-y,-z'
loop_
_atom_site_label
_atom_site_type_symbol
_atom_site_fract_x
_atom_site_fract_y
_atom_site_fract_z
Tl1 Tl 0.199 0.276 0.371
Zn1 Zn 0.152 0.729 0.937
Ga1 Ga 0.457 0.204 0.832



[3]
# MgH2S2O8 PBE optimized geometry
# DFT total energy   -5.3519 eV/atom
# DOS at the Fermi energy   0.00 states/eV per cell
data_MgH2S2O8
_chemical_formula_sum 'Mg2 H4 S4 O16'
_symmetry_space_group_name_H-M 'P 1 21/c 1'
_symmetry_Int_Tables_number 14
_cell_length_a 4.878
_cell_length_b 11.352
_cell_length_c 7.476
_cell_angle_alpha 90.00
_cell_angle_beta 112.67
_cell_angle_gamma 90.00
loop_
_symmetry_equiv_pos_as_xyz
'x,y,z'
'-x,-y,-z'
'-x,y+1/2,-z+1/2'
'x,-y+1/2,z+1/2'
loop_
_atom_site_label
_atom_site_type_symbol
_atom_site_fract_x
_atom_site_fract_y
_atom_site_fract_z
Mg1 Mg 0.000 0.000 0.000
H1 H 0.460 0.242 0.823
S1 S 0.397 0.011 0.709
O1 O 0.148 0.004 0.776
O2 O 0.328 0.190 0.320
O3 O 0.365 0.115 0.173
O4 O 0.376 0.600 0.669



[4]
# LiBe17Tc PBE optimized geometry
# DFT total energy   -4.0652 eV/atom
# DFT formation energy   -85 meV/atom
# DOS at the Fermi energy   8.28 states/eV per cell
data_LiBe17Tc
_chemical_formula_sum 'Li3 Be51 Tc3'
_symmetry_space_group_name_H-M 'R 3 m'
_symmetry_Int_Tables_number 160
_symmetry_space_group_name_Hall 'R 3 -2"'
_cell_length_a 7.2726
_cell_length_b 7.2726
_cell_length_c 10.7295
_cell_angle_alpha 90.00
_cell_angle_beta 90.00
_cell_angle_gamma 120.00
loop_
_atom_site_label
_atom_site_type_symbol
_atom_site_fract_x
_atom_site_fract_y
_atom_site_fract_z
Li1 Li 0.0000 0.0000 0.0000
Be1 Be 0.0000 0.0000 0.2479
Be2 Be 0.0000 0.0000 0.4469
Be3 Be 0.0012 0.3023 0.3455
Be4 Be 0.0012 0.5006 0.1899
Be5 Be 0.0101 0.5050 0.5013
Be6 Be 0.1701 0.3401 0.1831
Tc1 Tc 0.0000 0.0000 0.6742



[5]
# Ni3Mo PBE optimized geometry
# DFT total energy   -6.9285 eV/atom
# DFT formation energy   115 meV/atom
# DOS at the Fermi energy   6.46 states/eV per cell
data_Ni3Mo
_chemical_formula_sum 'Ni3 Mo1'
_symmetry_space_group_name_H-M 'P -6 m 2'
_symmetry_Int_Tables_number 187
_symmetry_space_group_name_Hall 'P -6 2'
_cell_length_a 2.6324
_cell_length_b 2.6324
_cell_length_c 8.2443
_cell_angle_alpha 90.00
_cell_angle_beta 90.00
_cell_angle_gamma 120.00
loop_
_atom_site_label
_atom_site_type_symbol
_atom_site_fract_x
_atom_site_fract_y
_atom_site_fract_z
Ni1 Ni 0.0000 0.0000 0.0000
Ni2 Ni 0.3333 0.6667 0.2420
Mo1 Mo 0.0000 0.0000 0.5000



[6]
# BeTl2Pt PBE optimized geometry
# Excess energy over the best structure of this formula in the dataset   0.76 eV/f.u.
# DFT total energy   -3.5245 eV/atom
# DFT formation energy   100 meV/atom
# DOS at the Fermi energy   3.92 states/eV per cell
data_BeTl2Pt
_chemical_formula_sum 'Be2 Tl4 Pt2'
_symmetry_space_group_name_H-M 'I m m 2'
_symmetry_Int_Tables_number 44
_cell_length_a 3.433
_cell_length_b 4.231
_cell_length_c 12.298
_cell_angle_alpha 90.00
_cell_angle_beta 90.00
_cell_angle_gamma 90.00
loop_
_symmetry_equiv_pos_as_xyz
'x,y,z'
'-x,-y,z'
'-x,y,z'
'x,-y,z'
'x+1/2,y+1/2,z+1/2'
'-x+1/2,-y+1/2,z+1/2'
'-x+1/2,y+1/2,z+1/2'
'x+1/2,-y+1/2,z+1/2'
loop_
_atom_site_label
_atom_site_type_symbol
_atom_site_fract_x
_atom_site_fract_y
_atom_site_fract_z
Be1 Be 0.000 0.000 0.000
Tl1 Tl 0.000 0.000 0.422
Tl2 Tl 0.000 0.500 0.204
Pt1 Pt 0.000 0.500 0.608



[7]
# Yb3Ge13Ir4 PBE optimized geometry
# DFT total energy   -5.4697 eV/atom
# DFT formation energy   -467 meV/atom
# DOS at the Fermi energy   77.27 states/eV per cell
data_Yb3Ge13Ir4
_chemical_formula_sum 'Yb6 Ge26 Ir8'
_symmetry_space_group_name_H-M 'P m -3 n'
_symmetry_Int_Tables_number 223
_symmetry_space_group_name_Hall '-P 4n 2 3'
_cell_length_a 9.064
_cell_length_b 9.064
_cell_length_c 9.064
_cell_angle_alpha 90.00
_cell_angle_beta 90.00
_cell_angle_gamma 90.00
loop_
_atom_site_label
_atom_site_type_symbol
_atom_site_fract_x
_atom_site_fract_y
_atom_site_fract_z
Yb1 Yb 0.000 0.250 0.500
Ge1 Ge 0.000 0.000 0.000
Ge2 Ge 0.000 0.303 0.144
Ir1 Ir 0.250 0.250 0.250



[8]
# Sc5Ag PBE optimized geometry
# Excess energy over the best structure of this formula in the dataset   0.13 eV/f.u.
# DFT total energy   -5.7762 eV/atom
# DFT formation energy   -25 meV/atom
# DOS at the Fermi energy   19.07 states/eV per cell
data_Sc5Ag
_chemical_formula_sum 'Sc10 Ag2'
_symmetry_space_group_name_H-M 'A m m 2'
_symmetry_Int_Tables_number 38
_cell_length_a 5.025
_cell_length_b 3.362
_cell_length_c 16.222
_cell_angle_alpha 90.00
_cell_angle_beta 90.00
_cell_angle_gamma 90.00
loop_
_symmetry_equiv_pos_as_xyz
'x,y,z'
'-x,-y,z'
'-x,y,z'
'x,-y,z'
'x,y+1/2,z+1/2'
'-x,-y+1/2,z+1/2'
'-x,y+1/2,z+1/2'
'x,-y+1/2,z+1/2'
loop_
_atom_site_label
_atom_site_type_symbol
_atom_site_fract_x
_atom_site_fract_y
_atom_site_fract_z
Sc1 Sc 0.000 0.000 0.000
Sc2 Sc 0.000 0.000 0.326
Sc3 Sc 0.000 0.000 0.659
Sc4 Sc 0.500 0.000 0.205
Sc5 Sc 0.500 0.000 0.878
Ag1 Ag 0.500 0.000 0.542